Crystalline GdMn2 at its relaxed geometry. Source: the Alexandria database, functional GGA-PBE.

Properties
* M_tot: 1.3998 μB/atom
* energy of formation: 162 meV per atom
* energy: -10.64 eV per atom

a b c (Å): 5.1612 5.1612 5.1612
angles (deg): 60.00 60.00 60.00
Fractional positions:
Gd  0.1250  0.1250  0.1250
Gd  0.8750  0.8750  0.8750
Mn  0.0000  0.5000  0.5000
Mn  0.5000  0.0000  0.5000
Mn  0.5000  0.5000  0.0000
Mn  0.5000  0.5000  0.5000

=====

Crystalline Gd6Mn23 at its relaxed geometry. Source: the Alexandria database, functional GGA-PBE.

Properties
* M_tot: 0.9171 μB/atom
* energy of formation: 61 meV per atom
* energy: -10.12 eV per atom

a b c (Å): 8.5842 8.5842 8.5842
angles (deg): 60.00 60.00 60.00
Fractional positions:
Gd  0.2072  0.2072  0.7928
Gd  0.2072  0.7928  0.2072
Gd  0.2072  0.7928  0.7928
Gd  0.7928  0.2072  0.2072
Gd  0.7928  0.2072  0.7928
Gd  0.7928  0.7928  0.2072
Mn  0.0000  0.0000  0.5000
Mn  0.0000  0.5000  0.0000
Mn  0.0000  0.5000  0.5000
Mn  0.1350  0.6217  0.6217
Mn  0.1766  0.1766  0.1766
Mn  0.1766  0.1766  0.4701
Mn  0.1766  0.4701  0.1766
Mn  0.3783  0.3783  0.3783
Mn  0.3783  0.3783  0.8650
Mn  0.3783  0.8650  0.3783
Mn  0.4701  0.1766  0.1766
Mn  0.5000  0.0000  0.0000
Mn  0.5000  0.0000  0.5000
Mn  0.5000  0.5000  0.0000
Mn  0.5000  0.5000  0.5000
Mn  0.5299  0.8234  0.8234
Mn  0.6217  0.1350  0.6217
Mn  0.6217  0.6217  0.1350
Mn  0.6217  0.6217  0.6217
Mn  0.8234  0.5299  0.8234
Mn  0.8234  0.8234  0.5299
Mn  0.8234  0.8234  0.8234
Mn  0.8650  0.3783  0.3783

=====

Crystalline GdMn at its relaxed geometry. Source: the Alexandria database, functional GGA-PBE.

Properties
* M_tot: 2.0695 μB/atom
* energy of formation: 182 meV per atom
* energy: -11.44 eV per atom

a b c (Å): 3.5311 3.5311 3.5311
angles (deg): 90.00 90.00 90.00
Fractional positions:
Gd  0.0000  0.0000  0.0000
Mn  0.5000  0.5000  0.5000

=====

Crystalline GdMn4Mo at its relaxed geometry. Source: the Alexandria database, functional GGA-PBE.

Properties
* M_tot: 1.7872 μB/atom
* energy of formation: 219 meV per atom
* energy: -10.05 eV per atom

a b c (Å): 4.9461 4.9461 4.9461
angles (deg): 60.00 60.00 60.00
Fractional positions:
Gd  0.0000  0.0000  0.0000
Mn  0.1264  0.6245  0.6245
Mn  0.6245  0.1264  0.6245
Mn  0.6245  0.6245  0.1264
Mn  0.6245  0.6245  0.6245
Mo  0.2500  0.2500  0.2500

=====

Crystalline GdMnN2 at its relaxed geometry. Source: the Alexandria database, functional GGA-PBE.

Properties
* M_tot: 2.4371 μB/atom
* formation energy without anion corrections: 0.018 eV per atom
* energy: -9.96 eV per atom

a b c (Å): 6.5278 6.5278 6.5278
angles (deg): 28.13 28.13 28.13
Fractional positions:
Gd  0.0000  0.0000  0.0000
Mn  0.5000  0.5000  0.5000
N  0.1176  0.1176  0.1176
N  0.8824  0.8824  0.8824

=====

Crystalline Gd3Mn5N12 at its relaxed geometry. Source: the Alexandria database, functional GGA-PBE.

Properties
* M_tot: 0.8401 μB/atom
* formation energy without anion corrections: -0.478 eV per atom
* energy: -9.88 eV per atom

a b c (Å): 10.6183 10.6183 10.6183
angles (deg): 109.47 109.47 109.47
Fractional positions:
Gd  0.1250  0.2500  0.3750
Gd  0.1250  0.3750  0.7500
Gd  0.2500  0.3750  0.1250
Gd  0.2500  0.8750  0.6250
Gd  0.3750  0.1250  0.2500
Gd  0.3750  0.7500  0.1250
Gd  0.6250  0.2500  0.8750
Gd  0.6250  0.8750  0.7500
Gd  0.7500  0.1250  0.3750
Gd  0.7500  0.6250  0.8750
Gd  0.8750  0.6250  0.2500
Gd  0.8750  0.7500  0.6250
Mn  0.0000  0.0000  0.0000
Mn  0.0000  0.0000  0.5000
Mn  0.0000  0.5000  0.0000
Mn  0.0000  0.5000  0.5000
Mn  0.1250  0.7500  0.8750
Mn  0.1250  0.8750  0.2500
Mn  0.2500  0.1250  0.8750
Mn  0.2500  0.6250  0.3750
Mn  0.3750  0.2500  0.6250
Mn  0.3750  0.6250  0.7500
Mn  0.5000  0.0000  0.0000
Mn  0.5000  0.0000  0.5000
Mn  0.5000  0.5000  0.0000
Mn  0.5000  0.5000  0.5000
Mn  0.6250  0.3750  0.2500
Mn  0.6250  0.7500  0.3750
Mn  0.7500  0.3750  0.6250
Mn  0.7500  0.8750  0.1250
Mn  0.8750  0.1250  0.7500
Mn  0.8750  0.2500  0.1250
N  0.0084  0.1953  0.1129
N  0.0084  0.3131  0.8955
N  0.0824  0.6953  0.6869
N  0.0824  0.8871  0.3955
N  0.1045  0.6129  0.4176
N  0.1045  0.9916  0.6869
N  0.1129  0.0084  0.1953
N  0.1129  0.6045  0.9176
N  0.1869  0.1953  0.5824
N  0.1869  0.4916  0.6045
N  0.1953  0.1129  0.0084
N  0.1953  0.5824  0.1869
N  0.3047  0.3131  0.9176
N  0.3047  0.4916  0.3871
N  0.3131  0.8955  0.0084
N  0.3131  0.9176  0.3047
N  0.3871  0.3047  0.4916
N  0.3871  0.5824  0.8955
N  0.3955  0.0824  0.8871
N  0.3955  0.8131  0.5084
N  0.4176  0.1045  0.6129
N  0.4176  0.8131  0.8047
N  0.4916  0.3871  0.3047
N  0.4916  0.6045  0.1869
N  0.5084  0.3955  0.8131
N  0.5084  0.6129  0.6953
N  0.5824  0.1869  0.1953
N  0.5824  0.8955  0.3871
N  0.6045  0.1869  0.4916
N  0.6045  0.9176  0.1129
N  0.6129  0.4176  0.1045
N  0.6129  0.6953  0.5084
N  0.6869  0.0824  0.6953
N  0.6869  0.1045  0.9916
N  0.6953  0.5084  0.6129
N  0.6953  0.6869  0.0824
N  0.8047  0.4176  0.8131
N  0.8047  0.8871  0.9916
N  0.8131  0.5084  0.3955
N  0.8131  0.8047  0.4176
N  0.8871  0.3955  0.0824
N  0.8871  0.9916  0.8047
N  0.8955  0.0084  0.3131
N  0.8955  0.3871  0.5824
N  0.9176  0.1129  0.6045
N  0.9176  0.3047  0.3131
N  0.9916  0.6869  0.1045
N  0.9916  0.8047  0.8871

=====

Crystalline NaGd2Mn at its relaxed geometry. Source: the Alexandria database, functional GGA-PBE.

Properties
* M_tot: 3.0277 μB/atom
* energy of formation: 119 meV per atom
* energy: -9.54 eV per atom

a b c (Å): 3.4618 3.4618 9.4375
angles (deg): 90.00 90.00 90.00
Fractional positions:
Na  0.0000  0.0000  0.0000
Gd  0.5000  0.5000  0.3175
Gd  0.5000  0.5000  0.6825
Mn  0.0000  0.0000  0.5000

=====

Crystalline NdGd2Mn at its relaxed geometry. Source: the Alexandria database, functional GGA-PBE.

Properties
* M_tot: 2.7988 μB/atom
* energy of formation: 107 meV per atom
* energy: -10.42 eV per atom

a b c (Å): 3.5168 3.5168 9.1202
angles (deg): 90.00 90.00 90.00
Fractional positions:
Nd  0.0000  0.0000  0.0000
Gd  0.5000  0.5000  0.3060
Gd  0.5000  0.5000  0.6940
Mn  0.0000  0.0000  0.5000

=====

Crystalline NdGdMn at its relaxed geometry. Source: the Alexandria database, functional GGA-PBE.

Properties
* M_tot: 3.6641 μB/atom
* energy of formation: 228 meV per atom
* energy: -9.11 eV per atom

a b c (Å): 6.7164 6.7164 6.7164
angles (deg): 148.46 148.46 45.20
Fractional positions:
Nd  0.0000  0.0000  0.0000
Gd  0.7124  0.7124  0.0000
Mn  0.3550  0.3550  0.0000

=====

Crystalline NdGd2Mn at its relaxed geometry. Source: the Alexandria database, functional GGA-PBE.

Properties
* M_tot: 3.1292 μB/atom
* energy of formation: 260 meV per atom
* energy: -10.27 eV per atom

a b c (Å): 5.3886 5.3886 5.3886
angles (deg): 59.92 59.92 59.92
Fractional positions:
Nd  0.0000  0.0000  0.0000
Gd  0.2497  0.2497  0.2497
Gd  0.7503  0.7503  0.7503
Mn  0.5000  0.5000  0.5000

=====

Crystalline NdGd3Mn at its relaxed geometry. Source: the Alexandria database, functional GGA-PBE.

Properties
* M_tot: 4.3183 μB/atom
* energy of formation: 190 meV per atom
* energy: -11.05 eV per atom

a b c (Å): 5.3522 5.3522 5.3522
angles (deg): 90.00 90.00 90.00
Fractional positions:
Nd  0.0000  0.0000  0.0000
Gd  0.0000  0.5000  0.5000
Gd  0.5000  0.0000  0.5000
Gd  0.5000  0.5000  0.0000
Mn  0.5000  0.5000  0.5000

=====

Crystalline NdGdMnZn at its relaxed geometry. Source: the Alexandria database, functional GGA-PBE.

Properties
* M_tot: 1.0298 μB/atom
* energy of formation: -25 meV per atom
* energy: -7.35 eV per atom

a b c (Å): 5.1273 5.1273 5.1273
angles (deg): 60.00 60.00 60.00
Fractional positions:
Nd  0.0000  0.0000  0.0000
Gd  0.5000  0.5000  0.5000
Mn  0.7500  0.7500  0.7500
Zn  0.2500  0.2500  0.2500

=====

Crystalline GdMnNi2 at its relaxed geometry. Source: the Alexandria database, functional GGA-PBE.

Properties
* M_tot: 0.9891 μB/atom
* energy of formation: -231 meV per atom
* energy: -8.93 eV per atom

a b c (Å): 5.2024 5.2024 5.2024
angles (deg): 46.52 46.52 46.52
Fractional positions:
Gd  0.0000  0.0000  0.0000
Mn  0.5000  0.5000  0.5000
Ni  0.2009  0.2009  0.2009
Ni  0.7991  0.7991  0.7991

=====

Crystalline GdMnNi4 at its relaxed geometry. Source: the Alexandria database, functional GGA-PBE.

Properties
* M_tot: 0.2181 μB/atom
* energy of formation: -249 meV per atom
* energy: -7.98 eV per atom

a b c (Å): 4.9214 4.9214 4.9214
angles (deg): 60.00 60.00 60.00
Fractional positions:
Gd  0.0000  0.0000  0.0000
Mn  0.2500  0.2500  0.2500
Ni  0.1283  0.6239  0.6239
Ni  0.6239  0.1283  0.6239
Ni  0.6239  0.6239  0.1283
Ni  0.6239  0.6239  0.6239

=====

Crystalline GdPuMnNi at its relaxed geometry. Source: the Alexandria database, functional GGA-PBE.

Properties
* M_tot: 0.2945 μB/atom
* energy of formation: 253 meV per atom
* energy: -10.59 eV per atom

a b c (Å): 4.8667 4.8667 4.8667
angles (deg): 60.00 60.00 60.00
Fractional positions:
Gd  0.0000  0.0000  0.0000
Pu  0.5000  0.5000  0.5000
Mn  0.2500  0.2500  0.2500
Ni  0.7500  0.7500  0.7500

=====

Crystalline SmGdMn2Ni8 at its relaxed geometry. Source: the Alexandria database, functional GGA-PBE.

Properties
* M_tot: 0.5874 μB/atom
* energy of formation: -234 meV per atom
* energy: -7.18 eV per atom

a b c (Å): 3.9503 5.0214 8.6837
angles (deg): 90.00 90.00 90.00
Fractional positions:
Sm  0.0000  0.0000  0.0000
Gd  0.0000  0.5000  0.5005
Mn  0.0000  0.0000  0.3340
Mn  0.0000  0.5000  0.8319
Ni  0.0000  0.0000  0.6649
Ni  0.0000  0.5000  0.1677
Ni  0.5000  0.0000  0.5017
Ni  0.5000  0.2476  0.7474
Ni  0.5000  0.2536  0.2496
Ni  0.5000  0.5000  0.0018
Ni  0.5000  0.7464  0.2496
Ni  0.5000  0.7524  0.7474

=====

Crystalline TbGdMnNi at its relaxed geometry. Source: the Alexandria database, functional GGA-PBE.

Properties
* M_tot: 0.9570 μB/atom
* energy of formation: 2 meV per atom
* energy: -8.41 eV per atom

a b c (Å): 4.9151 4.9151 4.9151
angles (deg): 60.00 60.00 60.00
Fractional positions:
Tb  0.0000  0.0000  0.0000
Gd  0.5000  0.5000  0.5000
Mn  0.7500  0.7500  0.7500
Ni  0.2500  0.2500  0.2500

=====

Crystalline GdYMnNi at its relaxed geometry. Source: the Alexandria database, functional GGA-PBE.

Properties
* M_tot: 2.6245 μB/atom
* energy of formation: 27 meV per atom
* energy: -8.85 eV per atom

a b c (Å): 4.9236 4.9236 4.9236
angles (deg): 60.00 60.00 60.00
Fractional positions:
Gd  0.0000  0.0000  0.0000
Y  0.5000  0.5000  0.5000
Mn  0.2500  0.2500  0.2500
Ni  0.7500  0.7500  0.7500

=====

Crystalline GdNpMn2 at its relaxed geometry. Source: the Alexandria database, functional GGA-PBE.

Properties
* M_tot: 1.5616 μB/atom
* energy of formation: 137 meV per atom
* energy: -11.20 eV per atom

a b c (Å): 3.3126 3.3126 6.9371
angles (deg): 90.00 90.00 90.00
Fractional positions:
Gd  0.0000  0.0000  0.0000
Np  0.0000  0.0000  0.5000
Mn  0.5000  0.5000  0.3041
Mn  0.5000  0.5000  0.6959